(1)
This record from Alexandria via LeMat-Bulk describes Ta2SbIr after structural relaxation. The functional is GGA-PBEsol.

The structure belongs to space group I-42d (No. 122); the cell edges are 3.909, 3.909 and 19.572 Å and the angles 90.00°, 90.00° and 90.00°. Symmetry generates all atoms from Ta at (0.249, 0.250, 0.125), Sb at (0.000, 0.000, 0.000) and Ir at (0.000, 0.000, 0.500).

As for the formation energy (no corrections): 0.366 eV per atom. The calculation puts the density of states at the Fermi level at 0.7392 states/eV/atom. The magnetic moment is 0.000 μB/atom.

(2)
This record from Alexandria via LeMat-Bulk describes LaP2RuS after structural relaxation. The functional is GGA-PBEsol.

The structure belongs to space group P4/mmm (No. 123); the cell edges are 5.191, 5.191 and 5.260 Å and the angles 90.00°, 90.00° and 90.00°. Symmetry generates all atoms from La at (0.000, 0.000, 0.000), P at (0.000, 0.500, 0.000), Ru at (0.500, 0.500, 0.500) and S at (0.000, 0.000, 0.500).

As for the formation energy (no corrections): 1.507 eV per atom. The calculation puts the density of states at the Fermi level at 1.7280 states/eV/atom. The magnetic moment is 0.659 μB/atom.

(3)
This record from Alexandria via LeMat-Bulk describes BaTa2Pt after structural relaxation. The functional is GGA-PBEsol.

The structure belongs to space group I4/mmm (No. 139); the cell edges are 4.125, 4.125 and 9.869 Å and the angles 90.00°, 90.00° and 90.00°. Symmetry generates all atoms from Ba at (0.000, 0.000, 0.000), Ta at (0.000, 0.500, 0.250) and Pt at (0.000, 0.000, 0.500).

The value obtained for the formation energy is 824.2 meV/atom. The calculation puts the density of states at the Fermi level at 1.0238 states/eV/atom. The magnetic moment is 0.000 μB/atom.

(4)
This record from Alexandria via LeMat-Bulk describes Al2HgBr after structural relaxation. The functional is GGA-PBEsol.

The structure belongs to space group R3m (No. 160, hexagonal axes); the cell edges are 3.3399, 3.3399 and 27.5707 Å and the angles 90.00°, 90.00° and 120.00°. Symmetry generates all atoms from Al at (0.0000, 0.0000, 0.0000), Al at (0.0000, 0.0000, 0.2636), Hg at (0.0000, 0.0000, 0.5223) and Br at (0.0000, 0.0000, 0.7312).

As for the formation energy (no corrections): -0.048 eV per atom. The calculation puts the density of states at the Fermi level at 0.3424 states/eV/atom. The magnetic moment is 0.000 μB/atom.

(5)
This record from Alexandria via LeMat-Bulk describes CoPt7 after structural relaxation. The functional is GGA-PBEsol.

The structure belongs to space group Fm-3m (No. 225); the cell edges are 7.748, 7.748 and 7.748 Å and the angles 90.00°, 90.00° and 90.00°. Symmetry generates all atoms from Co at (0.000, 0.000, 0.000), Pt at (0.000, 0.000, 0.500) and Pt at (0.000, 0.250, 0.250).

The value obtained for the formation energy is -17.9 meV/atom. The calculation puts the density of states at the Fermi level at 1.6840 states/eV/atom. The magnetic moment is 0.419 μB/atom.

(6)
This record from Alexandria via LeMat-Bulk describes YTl2As after structural relaxation. The functional is GGA-PBEsol.

The structure belongs to space group R3m (No. 160, hexagonal axes); the cell edges are 4.0088, 4.0088 and 24.2315 Å and the angles 90.00°, 90.00° and 120.00°. Symmetry generates all atoms from Y at (0.0000, 0.0000, 0.0000), Tl at (0.0000, 0.0000, 0.2366), Tl at (0.0000, 0.0000, 0.4722) and As at (0.0000, 0.0000, 0.7280).

The value obtained for the formation energy is -336.7 meV/atom. The calculation puts the density of states at the Fermi level at 0.6291 states/eV/atom. The magnetic moment is 0.000 μB/atom.

(7)
This record from Alexandria via LeMat-Bulk describes LiCdIn after structural relaxation. The functional is GGA-PBEsol.

The structure belongs to space group I4mm (No. 107); the cell edges are 3.068, 3.068 and 12.792 Å and the angles 90.00°, 90.00° and 90.00°. Symmetry generates all atoms from Li at (0.000, 0.000, 0.000), Cd at (0.000, 0.000, 0.347) and In at (0.000, 0.000, 0.662).

The value obtained for the formation energy is -188.5 meV/atom. The calculation puts the density of states at the Fermi level at 0.3009 states/eV/atom. The magnetic moment is 0.000 μB/atom.

(8)
This record from Alexandria via LeMat-Bulk describes Cs2HAu after structural relaxation. The functional is GGA-PBEsol.

The structure belongs to space group Fm-3m (No. 225); the cell edges are 8.048, 8.048 and 8.048 Å and the angles 90.00°, 90.00° and 90.00°. Symmetry generates all atoms from Cs at (0.250, 0.250, 0.250), H at (0.000, 0.000, 0.000) and Au at (0.000, 0.000, 0.500).

The value obtained for the electronic total energy is -2.3894 eV per atom. The calculation puts the density of states at the Fermi level at 0.0000 states/eV/atom. The magnetic moment is 0.000 μB/atom.

(9)
This record from Alexandria via LeMat-Bulk describes NaPSe2 after structural relaxation. The functional is GGA-PBEsol.

The structure belongs to space group I-42d (No. 122); the cell edges are 6.077, 6.077 and 12.468 Å and the angles 90.00°, 90.00° and 90.00°. Symmetry generates all atoms from Na at (0.000, 0.000, 0.000), P at (0.000, 0.000, 0.500) and Se at (0.175, 0.250, 0.625).

As for the formation energy (no corrections): -0.222 eV per atom. The calculation puts the density of states at the Fermi level at 0.1134 states/eV/atom. The magnetic moment is 0.000 μB/atom.

(10)
This record from Alexandria via LeMat-Bulk describes KP2SN after structural relaxation. The functional is GGA-PBEsol.

The structure belongs to space group P4/mmm (No. 123); the cell edges are 4.041, 4.041 and 5.201 Å and the angles 90.00°, 90.00° and 90.00°. Symmetry generates all atoms from K at (0.000, 0.000, 0.000), P at (0.000, 0.500, 0.500), S at (0.500, 0.500, 0.000) and N at (0.500, 0.500, 0.500).

As for the formation energy (no corrections): 0.761 eV per atom. The calculation puts the density of states at the Fermi level at 0.5751 states/eV/atom. The magnetic moment is 0.000 μB/atom.

(11)
This record from Alexandria via LeMat-Bulk describes Na3TeS after structural relaxation. The functional is GGA-PBEsol.

The structure belongs to space group Pm-3m (No. 221); the cell edges are 5.217, 5.217 and 5.217 Å and the angles 90.00°, 90.00° and 90.00°. Symmetry generates all atoms from Na at (0.000, 0.000, 0.500), Te at (0.500, 0.500, 0.500) and S at (0.000, 0.000, 0.000).

As for the formation energy (no corrections): -0.688 eV per atom. The calculation puts the density of states at the Fermi level at 0.9992 states/eV/atom. The magnetic moment is 0.207 μB/atom.

(12)
This record from Alexandria via LeMat-Bulk describes AlReNi2 after structural relaxation. The functional is GGA-PBEsol.

The structure belongs to space group Imm2 (No. 44); the cell edges are 2.659, 4.304 and 8.548 Å and the angles 90.00°, 90.00° and 90.00°. Symmetry generates all atoms from Al at (0.000, 0.000, 0.000), Re at (0.000, 0.500, 0.233), Ni at (0.000, 0.000, 0.478) and Ni at (0.000, 0.500, 0.738).

The value obtained for the formation energy is -142.2 meV/atom. The calculation puts the density of states at the Fermi level at 0.8595 states/eV/atom. The magnetic moment is 0.000 μB/atom.

(13)
This record from Alexandria via LeMat-Bulk describes BeFeCo2 after structural relaxation. The functional is GGA-PBEsol.

The structure belongs to space group P4/mmm (No. 123); the cell edges are 2.708, 2.708 and 5.290 Å and the angles 90.00°, 90.00° and 90.00°. Symmetry generates all atoms from Be at (0.000, 0.000, 0.000), Fe at (0.000, 0.000, 0.500) and Co at (0.500, 0.500, 0.234).

The value obtained for the formation energy is -153.2 meV/atom. The calculation puts the density of states at the Fermi level at 0.4828 states/eV/atom. The magnetic moment is 1.179 μB/atom.